Record 1
VASP calculation (PBE-GGA) on an optimized crystal structure of Hf3NbS.

## Properties
magnetization: 0.00 μB/atom
total energy: -7.73 eV/atom
polymorph energy (0 for the lowest one): 1526 meV/atom
crystal system: cubic
ΔE_f (raw): 1.082 eV/atom

Cell: 5.0673 5.0673 5.0673 Å, 90.00 90.00 90.00°
Last column: nearest neighbours and their distance in Å.
Atoms (fractional coordinates):
Nb: 0.0000 0.0000 0.0000  6 Hf 2.53
Hf: 0.0000 0.5000 0.0000  2 Nb 2.53
Hf: 0.0000 0.0000 0.5000  2 Nb 2.53
Hf: 0.5000 0.0000 0.0000  2 Nb 2.53
S: 0.5000 0.5000 0.5000  12 Hf 3.58

=====

Record 2
VASP calculation (PBE-GGA) on an optimized crystal structure of VFe4N4.

## Properties
magnetization: 0.65 μB/atom
total energy: -8.58 eV/atom
crystal system: triclinic
ΔE_f (raw): -0.102 eV/atom

Cell: 4.9388 4.9335 7.6762 Å, 72.49 84.62 69.96°
Last column: nearest neighbours and their distance in Å.
Atoms (fractional coordinates):
N: 0.0026 0.6993 0.6046  1 V 1.94, 5 Fe 1.95-2.10
N: 0.9974 0.3007 0.3954  1 V 1.94, 5 Fe 1.95-2.10
N: 0.8499 0.8462 0.0121  3 Fe 1.81-1.88, 1 V 1.87
N: 0.1501 0.1538 0.9879  3 Fe 1.81-1.88, 1 V 1.87
N: 0.5035 0.6019 0.8169  3 Fe 1.86-1.94, 1 V 1.92
N: 0.4965 0.3981 0.1831  3 Fe 1.86-1.94, 1 V 1.92
N: 0.5012 0.8005 0.3908  1 V 1.92, 3 Fe 1.94-2.03
N: 0.4988 0.1995 0.6092  1 V 1.92, 3 Fe 1.94-2.03
Fe: 0.7259 0.6129 0.2117  4 N 1.81-1.95
Fe: 0.2741 0.3871 0.7883  4 N 1.81-1.95
Fe: 0.7468 0.2563 0.9968  4 N 1.88-1.94
Fe: 0.2532 0.7437 0.0032  4 N 1.88-1.94
Fe: 0.7703 0.4289 0.6115  5 N 2.02-2.21
Fe: 0.2297 0.5711 0.3885  5 N 2.02-2.21
Fe: 0.2349 0.9628 0.6190  4 N 2.01-2.10
Fe: 0.7651 0.0372 0.3810  4 N 2.01-2.10
V: 0.7394 0.8510 0.7839  4 N 1.87-1.94
V: 0.2606 0.1490 0.2161  4 N 1.87-1.94

=====

Record 3
VASP calculation (PBE-GGA) on an optimized crystal structure of Nd2Zn5Pt4.

## Properties
energy of formation: -716 meV per atom
magnetization: 0.00 μB/atom
total energy: -4.36 eV/atom
crystal system: orthorhombic

Cell: 5.3940 5.4617 8.6134 Å, 81.11 71.75 60.41°
Last column: nearest neighbours and their distance in Å.
Atoms (fractional coordinates):
Nd: 0.8515 0.0000 0.2971  6 Pt 3.09-3.29, 4 Zn 3.20
Nd: 0.1485 0.0000 0.7029  6 Pt 3.09-3.29, 4 Zn 3.20
Zn: 0.5000 0.0000 0.0000  4 Pt 2.57, 4 Zn 2.73
Zn: 0.0000 0.5000 0.0000  4 Pt 2.65, 4 Zn 2.70-2.73
Zn: 0.5000 0.5000 0.0000  4 Pt 2.65, 4 Zn 2.70-2.73
Zn: 0.2500 0.5000 0.5000  4 Pt 2.57, 2 Zn 2.70
Zn: 0.7500 0.5000 0.5000  4 Pt 2.57, 2 Zn 2.70
Pt: 0.4724 0.3115 0.7436  5 Zn 2.57-2.65
Pt: 0.5276 0.6885 0.2564  5 Zn 2.57-2.65
Pt: 0.2160 0.3115 0.2564  5 Zn 2.57-2.65
Pt: 0.7840 0.6885 0.7436  5 Zn 2.57-2.65

=====

Record 4
VASP calculation (PBE-GGA) on an optimized crystal structure of Re4NiSe.

## Properties
magnetization: 0.00 μB/atom
total energy: -8.93 eV/atom
crystal system: cubic
ΔE_f (raw): 0.915 eV/atom

Cell: 5.1923 5.1923 5.1923 Å, 60.00 60.00 60.00°
Last column: nearest neighbours and their distance in Å.
Atoms (fractional coordinates):
Re: 0.8772 0.3743 0.3743  6 Re 2.58-2.61
Re: 0.3743 0.3743 0.8772  6 Re 2.58-2.61
Re: 0.3743 0.8772 0.3743  6 Re 2.58-2.61
Re: 0.3743 0.3743 0.3743  6 Re 2.58-2.61
Ni: 0.0000 0.0000 0.0000  12 Re 3.04, 4 Se 3.18
Se: 0.7500 0.7500 0.7500  12 Re 3.05, 4 Ni 3.18

=====

Record 5
VASP calculation (PBE-GGA) on an optimized crystal structure of BaLiAl2.

## Properties
energy of formation: -175 meV per atom
magnetization: 0.00 μB/atom
total energy: -3.01 eV/atom
polymorph energy (0 for the lowest one): 3 meV/atom
crystal system: orthorhombic

Cell: 4.5070 7.7164 12.5718 Å, 90.00 90.00 90.00°
Last column: nearest neighbours and their distance in Å.
Atoms (fractional coordinates):
Ba: 0.7500 0.7369 0.3097  8 Al 3.47-3.84, 3 Li 3.62-3.72
Ba: 0.7500 0.2369 0.1903  8 Al 3.47-3.84, 3 Li 3.62-3.72
Ba: 0.2500 0.2631 0.6903  8 Al 3.47-3.84, 3 Li 3.62-3.72
Ba: 0.2500 0.7631 0.8097  8 Al 3.47-3.84, 3 Li 3.62-3.72
Li: 0.2500 0.0673 0.4289  4 Al 2.81-2.91, 2 Li 3.06
Li: 0.7500 0.9327 0.5711  4 Al 2.81-2.91, 2 Li 3.06
Li: 0.2500 0.5673 0.0711  4 Al 2.81-2.91, 2 Li 3.06
Li: 0.7500 0.4327 0.9289  4 Al 2.81-2.91, 2 Li 3.06
Al: 0.7500 0.7741 0.0281  3 Al 2.70-2.73, 3 Li 2.81-2.91
Al: 0.2500 0.2259 0.9719  3 Al 2.70-2.73, 3 Li 2.81-2.91
Al: 0.7500 0.2741 0.4719  3 Al 2.70-2.73, 3 Li 2.81-2.91
Al: 0.2500 0.7259 0.5281  3 Al 2.70-2.73, 3 Li 2.81-2.91
Al: 0.7500 0.0666 0.9064  3 Al 2.70-2.73, 1 Li 2.84
Al: 0.2500 0.4334 0.4064  3 Al 2.70-2.73, 1 Li 2.84
Al: 0.7500 0.5666 0.5936  3 Al 2.70-2.73, 1 Li 2.84
Al: 0.2500 0.9334 0.0936  3 Al 2.70-2.73, 1 Li 2.84

=====

Record 6
VASP calculation (PBE-GGA) on an optimized crystal structure of Pt3WCl.

## Properties
magnetization: 0.00 μB/atom
total energy: -5.33 eV/atom
polymorph energy (0 for the lowest one): 0 meV/atom
crystal system: cubic
ΔE_f (raw): 1.253 eV/atom

Cell: 4.8837 4.8837 4.8837 Å, 90.00 90.00 90.00°
Last column: nearest neighbours and their distance in Å.
Atoms (fractional coordinates):
W: 0.0000 0.0000 0.0000  6 Pt 2.44
Pt: 0.0000 0.5000 0.0000  2 W 2.44
Pt: 0.0000 0.0000 0.5000  2 W 2.44
Pt: 0.5000 0.0000 0.0000  2 W 2.44
Cl: 0.5000 0.5000 0.5000  12 Pt 3.45

=====

Record 7
VASP calculation (PBE-GGA) on an optimized crystal structure of K3DyY2Se6.

## Properties
magnetization: 0.00 μB/atom
total energy: -5.25 eV/atom
crystal system: monoclinic
ΔE_f (raw): -1.771 eV/atom

Cell: 7.3008 7.3008 8.0590 Å, 98.68 98.68 120.00°
Last column: nearest neighbours and their distance in Å.
Atoms (fractional coordinates):
K: 0.1666 0.8334 0.5000  6 Se 3.32-3.33
K: 0.8334 0.1666 0.5000  6 Se 3.32-3.33
K: 0.5000 0.5000 0.5000  6 Se 3.32-3.33
Dy: 0.0000 0.0000 0.0000  6 Se 2.90
Y: 0.3333 0.6667 0.0000  6 Se 2.90
Y: 0.6667 0.3333 0.0000  6 Se 2.90
Se: 0.9316 0.5986 0.7946  1 Dy 2.90, 2 Y 2.90
Se: 0.7355 0.7355 0.2054  1 Dy 2.90, 2 Y 2.90
Se: 0.0684 0.4014 0.2054  1 Dy 2.90, 2 Y 2.90
Se: 0.5986 0.9316 0.7946  1 Dy 2.90, 2 Y 2.90
Se: 0.2645 0.2645 0.7946  1 Dy 2.90, 2 Y 2.90
Se: 0.4014 0.0684 0.2054  1 Dy 2.90, 2 Y 2.90

=====

Record 8
VASP calculation (PBE-GGA) on an optimized crystal structure of TbPmSm2Se6.

## Properties
magnetization: 0.00 μB/atom
total energy: -5.82 eV/atom
crystal system: trigonal
ΔE_f (raw): -1.847 eV/atom

Cell: 7.3618 7.3619 7.8217 Å, 61.92 61.92 59.99°
Last column: nearest neighbours and their distance in Å.
Atoms (fractional coordinates):
Tb: 0.3181 0.3180 0.0458  6 Se 2.87-2.92
Pm: 0.8155 0.8155 0.5534  6 Se 2.91-2.99
Sm: 0.5174 0.5174 0.4478  6 Se 2.91-2.98
Sm: 0.0155 0.0155 0.9536  6 Se 2.90-2.98
Se: 0.6079 0.2168 0.2517  1 Tb 2.87, 2 Sm 2.91-2.98, 1 Pm 2.99
Se: 0.2168 0.9236 0.2517  1 Tb 2.87, 2 Sm 2.91-2.98, 1 Pm 2.99
Se: 0.9237 0.6079 0.2517  1 Tb 2.87, 2 Sm 2.91-2.98, 1 Pm 2.99
Se: 0.4143 0.7150 0.7532  2 Sm 2.90-2.98, 1 Pm 2.91, 1 Tb 2.92
Se: 0.7151 0.1174 0.7532  2 Sm 2.90-2.98, 1 Pm 2.91, 1 Tb 2.92
Se: 0.1175 0.4144 0.7532  2 Sm 2.90-2.98, 1 Pm 2.91, 1 Tb 2.92